13
Lattice="5.526 3.190 4.489 -5.526 3.190 4.489 0.000 -6.380 4.489" Properties=species:S:1:pos:R:3 comment="PBE-GGA Tb8Nd4Pu, relaxed" crystal_system=trigonal delta_e_f_mev_per_atom=532 m_tot_mub_per_atom=0.54 pbc="T T T"
Tb 0.000 0.000 3.278
Tb 0.000 -3.270 5.570
Tb -2.832 1.635 5.570
Tb -2.832 -1.635 7.896
Tb 2.832 1.635 5.570
Tb 2.832 -1.635 7.896
Tb 0.000 3.270 7.896
Tb 0.000 0.000 10.188
Nd 0.000 0.000 0.000
Nd -2.763 -1.595 4.489
Nd -2.763 1.595 8.977
Nd 0.000 3.190 4.489
Pu 0.000 0.000 6.733

***

4
Lattice="1.715 0.990 11.498 -1.715 0.990 11.498 0.000 -1.980 11.498" Properties=species:S:1:pos:R:3 comment="PBE-GGA Tb2NdPu, relaxed" crystal_system=trigonal delta_e_f_mev_per_atom=624 m_tot_mub_per_atom=0.08 de_polymorph_mev_per_atom=519 pbc="T T T"
Tb 0.000 0.000 0.000
Tb 0.000 0.000 6.164
Nd 0.000 0.000 14.582
Pu 0.000 0.000 20.325

***

12
Lattice="-4.359 4.359 5.698 4.359 -4.359 5.698 4.359 4.359 -5.698" Properties=species:S:1:pos:R:3 comment="PBE-GGA Tb8Nd3Pu, relaxed" crystal_system=tetragonal delta_e_f_mev_per_atom=554 m_tot_mub_per_atom=0.34 pbc="T T T"
Tb 3.266 3.266 -3.045
Tb 2.008 2.008 -0.356
Tb 2.351 -2.351 6.054
Tb 1.093 1.093 2.653
Tb 1.093 -1.093 8.743
Tb 2.351 2.351 5.342
Tb -2.351 2.351 6.054
Tb -1.093 1.093 8.743
Nd 4.359 0.000 2.849
Nd 0.000 0.000 5.698
Nd 0.000 4.359 2.849
Pu 0.000 0.000 0.000